<i>
# SiSbPb2 PBE-GGA optimized geometry
# total moment	0.0	μB/f.u.
# SG	P2/m
# density	8.6	g/cm³
data_SiSbPb2
_cell_length_a 5.9219
_cell_length_b 3.3197
_cell_length_c 5.9717
_cell_angle_alpha 90.00
_cell_angle_beta 111.32
_cell_angle_gamma 90.00
_space_group_name_H-M_alt 'P 1'
_space_group_IT_number 1
_space_group_name_Hall 'P 1'
loop_
_atom_site_label
_atom_site_fract_x
_atom_site_fract_y
_atom_site_fract_z
Si1 0.0000 0.0000 0.0000
Sb1 0.0000 0.5000 0.5000
Pb1 0.5000 0.0000 0.5000
Pb2 0.5000 0.5000 0.0000



<ii>
# SiSbPb2 PBE-GGA optimized geometry
# total moment	0.0	μB/f.u.
# SG	Cmmm
# density	8.6	g/cm³
data_SiSbPb2
_cell_length_a 4.3775
_cell_length_b 5.0929
_cell_length_c 9.7479
_cell_angle_alpha 90.00
_cell_angle_beta 90.00
_cell_angle_gamma 90.00
_space_group_name_H-M_alt 'P 1'
_space_group_IT_number 1
_space_group_name_Hall 'P 1'
loop_
_atom_site_label
_atom_site_fract_x
_atom_site_fract_y
_atom_site_fract_z
Si1 0.0000 0.0000 0.0000
Si2 0.5000 0.5000 0.0000
Sb1 0.0000 0.0000 0.5000
Sb2 0.5000 0.5000 0.5000
Pb1 0.0000 0.5000 0.2199
Pb2 0.0000 0.5000 0.7801
Pb3 0.5000 0.0000 0.2199
Pb4 0.5000 0.0000 0.7801



<iii>
# SiSbPb2 PBE-GGA optimized geometry
# total moment	0.0	μB/f.u.
# SG	Cm
# density	8.5	g/cm³
data_SiSbPb2
_cell_length_a 11.7991
_cell_length_b 3.8391
_cell_length_c 5.4649
_cell_angle_alpha 90.00
_cell_angle_beta 117.24
_cell_angle_gamma 90.00
_space_group_name_H-M_alt 'P 1'
_space_group_IT_number 1
_space_group_name_Hall 'P 1'
loop_
_atom_site_label
_atom_site_fract_x
_atom_site_fract_y
_atom_site_fract_z
Si1 0.0000 0.0000 0.0000
Si2 0.5000 0.5000 0.0000
Sb1 0.1799 0.5000 0.1980
Sb2 0.6799 0.0000 0.1980
Pb1 0.2712 0.0000 0.7952
Pb2 0.4856 0.0000 0.4988
Pb3 0.7712 0.5000 0.7952
Pb4 0.9856 0.5000 0.4988



Among the structures shown above, <iii> is the most stable, with the second-best lying 90 meV per atom higher.